# GGA-PBE Dy3GeTe2, relaxed
data_Dy3GeTe2
_chemical_formula_sum 'Dy12 Ge4 Te8'
_space_group_name_H-M_alt 'C 1 2/c 1'
_space_group_IT_number 15
_cell_length_a 7.526
_cell_length_b 12.861
_cell_length_c 7.401
_cell_angle_alpha 90.00
_cell_angle_beta 109.62
_cell_angle_gamma 90.00
loop_
_space_group_symop_operation_xyz
'x,y,z'
'-x,-y,-z'
'-x,y,-z+1/2'
'x,-y,z+1/2'
'x+1/2,y+1/2,z'
'-x+1/2,-y+1/2,-z'
'-x+1/2,y+1/2,-z+1/2'
'x+1/2,-y+1/2,z+1/2'
loop_
_atom_site_label
_atom_site_type_symbol
_atom_site_fract_x
_atom_site_fract_y
_atom_site_fract_z
_atom_site_occupancy
Dy1 Dy 0.217 0.074 0.494 1
Dy2 Dy 0.250 0.250 0.000 1
Ge1 Ge 0.000 0.090 0.750 1
Te1 Te 0.000 0.259 0.250 1
Te2 Te 0.000 0.419 0.750 1
# Crystal system: monoclinic
# Mass density in g/cm3: 8.03
# E above lowest polymorph in meV/atom: 14.8
# Uncorrected energy in eV per atom: -5.380
# Uncorrected formation energy in eV per atom: -1.2625